(1)
A plane-wave DFT calculation with PBE was carried out for an optimized crystal structure of Na5CdHg2.

Output
**E_form**: -153 meV per atom
**Magnetization**: 0.0 μB per cell

Cell lengths 6.6895, 13.4330, 4.8300 Å; angles 90.00, 90.00, 90.00 degrees
Closest atoms and distances in Å follow each position.
Positions (direct):
Na1 0.0000 0.0000 0.0000  2 Cd 3.34, 4 Hg 3.37, 6 Na 3.38-3.45
Na2 0.0092 0.2570 0.0000  1 Cd 3.26, 4 Hg 3.32-3.46, 7 Na 3.35-3.50
Na3 0.2359 0.6177 0.5000  4 Hg 3.25-3.47, 2 Cd 3.29, 6 Na 3.37-3.50
Na4 0.2641 0.1177 0.5000  4 Hg 3.25-3.47, 2 Cd 3.29, 6 Na 3.37-3.50
Na5 0.4908 0.7570 0.0000  1 Cd 3.26, 4 Hg 3.32-3.46, 7 Na 3.35-3.50
Na6 0.5000 0.5000 0.0000  2 Cd 3.34, 4 Hg 3.37, 6 Na 3.38-3.45
Na7 0.5092 0.2430 0.0000  1 Cd 3.26, 4 Hg 3.32-3.46, 7 Na 3.35-3.50
Na8 0.7359 0.8823 0.5000  4 Hg 3.25-3.47, 2 Cd 3.29, 6 Na 3.37-3.50
Na9 0.7641 0.3823 0.5000  4 Hg 3.25-3.47, 2 Cd 3.29, 6 Na 3.37-3.50
Na10 0.9908 0.7430 0.0000  1 Cd 3.26, 4 Hg 3.32-3.46, 7 Na 3.35-3.50
Cd1 0.0000 0.5000 0.0000  8 Na 3.26-3.34, 4 Hg 3.39
Cd2 0.5000 0.0000 0.0000  8 Na 3.26-3.34, 4 Hg 3.39
Hg1 0.2476 0.8756 0.5000  10 Na 3.25-3.47, 2 Cd 3.39
Hg2 0.2524 0.3756 0.5000  10 Na 3.25-3.47, 2 Cd 3.39
Hg3 0.7476 0.6244 0.5000  10 Na 3.25-3.47, 2 Cd 3.39
Hg4 0.7524 0.1244 0.5000  10 Na 3.25-3.47, 2 Cd 3.39


(2)
A plane-wave DFT calculation with PBE was carried out for an optimized crystal structure of Na5Cd5Hg2.

Output
**E_form**: -50 meV per atom
**Magnetization**: 0.0 μB per cell

Cell lengths 8.1281, 8.1281, 9.8609 Å; angles 97.09, 97.09, 32.87 degrees
Closest atoms and distances in Å follow each position.
Positions (direct):
Na1 0.0000 0.0000 0.0000  6 Cd 3.08-3.21
Na2 0.1345 0.1345 0.6660  3 Hg 3.10-3.31, 6 Cd 3.18-3.44
Na3 0.3305 0.3305 0.8958  4 Cd 3.35-3.50, 1 Hg 3.41, 3 Na 3.55-3.56
Na4 0.6695 0.6695 0.1042  4 Cd 3.35-3.50, 1 Hg 3.41, 3 Na 3.55-3.56
Na5 0.8655 0.8655 0.3340  3 Hg 3.10-3.31, 6 Cd 3.18-3.44
Cd1 0.0823 0.0823 0.3160  2 Hg 3.06, 4 Cd 3.11-3.29, 2 Na 3.21-3.41
Cd2 0.4629 0.4629 0.1914  3 Cd 3.02-3.11, 5 Na 3.08-3.35
Cd3 0.5000 0.5000 0.5000  6 Cd 3.02-3.29, 2 Hg 3.07
Cd4 0.5371 0.5371 0.8086  3 Cd 3.02-3.11, 5 Na 3.08-3.35
Cd5 0.9177 0.9177 0.6840  2 Hg 3.06, 4 Cd 3.11-3.29, 2 Na 3.21-3.41
Hg1 0.3093 0.3093 0.5472  2 Hg 3.02, 3 Cd 3.06-3.07, 3 Na 3.10-3.31
Hg2 0.6907 0.6907 0.4528  2 Hg 3.02, 3 Cd 3.06-3.07, 3 Na 3.10-3.31


(3)
A plane-wave DFT calculation with PBE was carried out for an optimized crystal structure of Na2Cd2Hg3.

Output
**E_form**: -150 meV per atom
**Magnetization**: 0.0 μB per cell

Cell lengths 5.3808, 5.3808, 7.6730 Å; angles 103.85, 103.85, 55.14 degrees
Closest atoms and distances in Å follow each position.
Positions (direct):
Na1 0.0807 0.0807 0.2366  6 Hg 3.10-3.42, 3 Cd 3.28-3.33
Na2 0.9193 0.9193 0.7634  6 Hg 3.10-3.42, 3 Cd 3.28-3.33
Cd1 0.3564 0.3564 0.0572  2 Hg 3.00-3.30, 3 Cd 3.09-3.18, 3 Na 3.28-3.33
Cd2 0.6436 0.6436 0.9428  2 Hg 3.00-3.30, 3 Cd 3.09-3.18, 3 Na 3.28-3.33
Hg1 0.2115 0.2115 0.6583  1 Cd 3.00, 4 Na 3.10-3.15, 3 Hg 3.23-3.29
Hg2 0.5000 0.5000 0.5000  6 Hg 3.23-3.29, 2 Cd 3.30, 4 Na 3.42
Hg3 0.7885 0.7885 0.3417  1 Cd 3.00, 4 Na 3.10-3.15, 3 Hg 3.23-3.29


(4)
A plane-wave DFT calculation with PBE was carried out for an optimized crystal structure of NaCd6Hg8.

Output
**E_form**: 3 meV per atom
**Magnetization**: 0.0 μB per cell

Cell lengths 7.3936, 7.3936, 7.3936 Å; angles 79.77, 79.77, 79.77 degrees
Closest atoms and distances in Å follow each position.
Positions (direct):
Na1 0.0000 0.0000 0.0000  8 Hg 3.09-3.26
Cd1 0.2055 0.5880 0.4144  5 Hg 2.94-3.29, 2 Cd 3.15
Cd2 0.4120 0.5856 0.7945  5 Hg 2.94-3.29, 2 Cd 3.15
Cd3 0.4144 0.2055 0.5880  5 Hg 2.94-3.29, 2 Cd 3.15
Cd4 0.5856 0.7945 0.4120  5 Hg 2.94-3.29, 2 Cd 3.15
Cd5 0.5880 0.4144 0.2055  5 Hg 2.94-3.29, 2 Cd 3.15
Cd6 0.7945 0.4120 0.5856  5 Hg 2.94-3.29, 2 Cd 3.15
Hg1 0.0716 0.3990 0.8301  4 Cd 2.94-3.20, 3 Hg 3.08-3.24, 1 Na 3.09
Hg2 0.1699 0.9284 0.6010  4 Cd 2.94-3.20, 3 Hg 3.08-3.24, 1 Na 3.09
Hg3 0.2184 0.2184 0.2184  6 Hg 3.23-3.24, 1 Na 3.26, 3 Cd 3.29
Hg4 0.3990 0.8301 0.0716  4 Cd 2.94-3.20, 3 Hg 3.08-3.24, 1 Na 3.09
Hg5 0.6010 0.1699 0.9284  4 Cd 2.94-3.20, 3 Hg 3.08-3.24, 1 Na 3.09
Hg6 0.7816 0.7816 0.7816  6 Hg 3.23-3.24, 1 Na 3.26, 3 Cd 3.29
Hg7 0.8301 0.0716 0.3990  4 Cd 2.94-3.20, 3 Hg 3.08-3.24, 1 Na 3.09
Hg8 0.9284 0.6010 0.1699  4 Cd 2.94-3.20, 3 Hg 3.08-3.24, 1 Na 3.09